(1)
DFT (PBE) results for a geometry-optimized AlGaHg structure.

## Properties
Final energy = -2.27 eV/atom
Calculated formation energy = 87 meV/atom
M_tot = 0.000 μB per atom

CIF file:
```
data_AlGaHg
_chemical_formula_sum 'Al2 Ga2 Hg2'
_symmetry_space_group_name_H-M 'P 1'
_symmetry_Int_Tables_number 1
_cell_length_a 4.297
_cell_length_b 4.730
_cell_length_c 6.419
_cell_angle_alpha 87.02
_cell_angle_beta 77.37
_cell_angle_gamma 88.05
loop_
_symmetry_equiv_pos_as_xyz
'x,y,z'
loop_
_atom_site_label
_atom_site_type_symbol
_atom_site_fract_x
_atom_site_fract_y
_atom_site_fract_z
Al1 Al 0.000 0.000 0.000
Al2 Al 0.492 0.372 0.000
Ga1 Ga 0.081 0.521 0.744
Ga2 Ga 0.581 0.896 0.734
Hg1 Hg 0.042 0.208 0.395
Hg2 Hg 0.554 0.707 0.327
```

(2)
DFT (PBE) results for a geometry-optimized TmScTiTl structure.

## Properties
Final energy = -5.27 eV/atom
Calculated formation energy = -8 meV/atom
M_tot = 0.751 μB per atom

CIF file:
```
data_TmScTiTl
_chemical_formula_sum 'Tm4 Sc4 Ti4 Tl4'
_symmetry_space_group_name_H-M 'F -4 3 m'
_symmetry_Int_Tables_number 216
_symmetry_space_group_name_Hall 'F -4 2 3'
_cell_length_a 7.214
_cell_length_b 7.214
_cell_length_c 7.214
_cell_angle_alpha 90.00
_cell_angle_beta 90.00
_cell_angle_gamma 90.00
loop_
_atom_site_label
_atom_site_type_symbol
_atom_site_fract_x
_atom_site_fract_y
_atom_site_fract_z
Tm1 Tm 0.000 0.000 0.000
Sc1 Sc 0.000 0.000 0.500
Ti1 Ti 0.250 0.250 0.750
Tl1 Tl 0.250 0.250 0.250
```